(1)
# LiTm5S8

LiTm5S8 after structural relaxation (PBE, Alexandria via LeMat-Bulk).

The structure in POSCAR format:
```
LiTm5S8
1.0
0.000 5.587 5.587
5.587 0.000 5.587
5.587 5.587 0.000
Li Tm S
1 5 8
direct
0.000 0.000 0.000
0.111 0.630 0.630
0.250 0.250 0.250
0.630 0.111 0.630
0.630 0.630 0.111
0.630 0.630 0.630
0.384 0.384 0.384
0.384 0.384 0.849
0.384 0.849 0.384
0.395 0.868 0.868
0.849 0.384 0.384
0.868 0.395 0.868
0.868 0.868 0.395
0.868 0.868 0.868
```

Results
raw total energy: -6.069 eV/atom
crystal system: cubic
space-group type: F-43m (216)
DOS at the Fermi energy: 0.00 states/eV/f.u.


(2)
# Li3TmS3

Li3TmS3 after structural relaxation (PBE, Alexandria via LeMat-Bulk).

The structure in POSCAR format:
```
Li3TmS3
1.0
3.477 2.008 6.379
-3.477 2.008 6.379
0.000 -4.015 6.379
Li Tm S
6 2 6
direct
0.130 0.817 0.414
0.183 0.586 0.870
0.414 0.130 0.817
0.586 0.870 0.183
0.817 0.414 0.130
0.870 0.183 0.586
0.334 0.334 0.334
0.666 0.666 0.666
0.078 0.450 0.719
0.281 0.922 0.550
0.450 0.719 0.078
0.550 0.281 0.922
0.719 0.078 0.450
0.922 0.550 0.281
```

Results
raw total energy: -4.844 eV/atom
crystal system: trigonal
space-group type: R-3 (148)
DOS at the Fermi energy: 0.00 states/eV/f.u.


(3)
# Li3TmU3S8

Li3TmU3S8 after structural relaxation (PBE, Alexandria via LeMat-Bulk).

The structure in POSCAR format:
```
Li3TmU3S8
1.0
3.898 2.251 6.199
-3.898 2.251 6.199
0.000 -4.501 6.199
Li Tm U S
3 1 3 8
direct
0.000 0.500 0.500
0.500 0.000 0.500
0.500 0.500 0.000
0.500 0.500 0.500
0.000 0.000 0.500
0.000 0.500 0.000
0.500 0.000 0.000
0.252 0.252 0.252
0.253 0.253 0.747
0.253 0.747 0.253
0.253 0.747 0.747
0.747 0.253 0.253
0.747 0.253 0.747
0.747 0.747 0.253
0.748 0.748 0.748
```

Results
raw total energy: -6.624 eV/atom
crystal system: trigonal
space-group type: R-3m (166)
DOS at the Fermi energy: 11.89 states/eV/f.u.


(4)
# LiTm2US6

LiTm2US6 after structural relaxation (PBE, Alexandria via LeMat-Bulk).

The structure in POSCAR format:
```
LiTm2US6
1.0
6.293 0.000 0.000
0.000 6.293 0.000
0.000 0.000 6.344
Li Tm U S
1 2 1 6
direct
0.000 0.000 0.000
0.000 0.500 0.449
0.500 0.000 0.449
0.500 0.500 0.057
0.000 0.000 0.634
0.240 0.240 0.212
0.240 0.760 0.212
0.500 0.500 0.643
0.760 0.240 0.212
0.760 0.760 0.212
```

Results
raw total energy: -5.944 eV/atom
crystal system: tetragonal
space-group type: P4mm (99)
DOS at the Fermi energy: 5.57 states/eV/f.u.


(5)
# LiTmUS4

LiTmUS4 after structural relaxation (PBE, Alexandria via LeMat-Bulk).

The structure in POSCAR format:
```
LiTmUS4
1.0
-3.905 3.999 5.559
3.905 -3.999 5.559
3.905 3.999 -5.559
Li Tm U S
2 2 2 8
direct
0.382 0.132 0.250
0.618 0.868 0.750
0.000 0.000 0.500
0.000 0.500 0.000
0.000 0.500 0.500
0.500 0.500 0.000
0.226 0.741 0.484
0.243 0.259 0.984
0.244 0.259 0.515
0.244 0.729 0.985
0.756 0.271 0.015
0.756 0.741 0.485
0.757 0.741 0.016
0.774 0.259 0.516
```

Results
raw total energy: -6.514 eV/atom
crystal system: orthorhombic
space-group type: Imma (74)
DOS at the Fermi energy: 4.59 states/eV/f.u.


(6)
# LiTmU2S5

LiTmU2S5 after structural relaxation (PBE, Alexandria via LeMat-Bulk).

The structure in POSCAR format:
```
LiTmU2S5
1.0
4.903 0.000 0.000
0.000 4.903 0.000
0.000 0.000 9.471
Li Tm U S
1 1 2 5
direct
0.000 0.000 0.000
0.000 0.000 0.500
0.500 0.500 0.286
0.500 0.500 0.714
0.000 0.000 0.229
0.000 0.000 0.771
0.000 0.500 0.500
0.500 0.000 0.500
0.500 0.500 0.000
```

Results
raw total energy: -6.565 eV/atom
crystal system: tetragonal
space-group type: P4/mmm (123)
DOS at the Fermi energy: 15.72 states/eV/f.u.


(7)
# Li2Tm2US6

Li2Tm2US6 after structural relaxation (PBE, Alexandria via LeMat-Bulk).

The structure in POSCAR format:
```
Li2Tm2US6
1.0
3.383 -5.873 0.000
3.383 5.873 0.000
-2.215 0.000 6.156
Li Tm U S
2 2 1 6
direct
0.171 0.829 0.000
0.829 0.171 0.000
0.335 0.665 0.500
0.665 0.335 0.500
0.000 0.000 0.500
0.073 0.411 0.742
0.248 0.248 0.258
0.411 0.073 0.742
0.589 0.927 0.258
0.752 0.752 0.742
0.927 0.589 0.258
```

Results
raw total energy: -6.129 eV/atom
crystal system: monoclinic
space-group type: C2/m (12)
DOS at the Fermi energy: 5.97 states/eV/f.u.


(8)
# Li3TmU2S6

Li3TmU2S6 after structural relaxation (PBE, Alexandria via LeMat-Bulk).

The structure in POSCAR format:
```
Li3TmU2S6
1.0
3.349 -5.803 0.000
3.349 5.803 0.000
-2.231 0.000 6.231
Li Tm U S
3 1 2 6
direct
0.000 0.000 0.000
0.336 0.664 0.000
0.664 0.336 0.000
0.500 0.500 0.500
0.167 0.833 0.500
0.833 0.167 0.500
0.085 0.415 0.245
0.255 0.255 0.754
0.415 0.085 0.245
0.585 0.915 0.755
0.745 0.745 0.246
0.915 0.585 0.755
```

Results
raw total energy: -6.303 eV/atom
crystal system: monoclinic
space-group type: C2/m (12)
DOS at the Fermi energy: 7.56 states/eV/f.u.


(9)
# Li3Tm2US6

Li3Tm2US6 after structural relaxation (PBE, Alexandria via LeMat-Bulk).

The structure in POSCAR format:
```
Li3Tm2US6
1.0
3.360 -5.817 0.000
3.360 5.817 0.000
-2.237 0.000 6.176
Li Tm U S
3 2 1 6
direct
0.000 0.000 0.000
0.331 0.669 0.000
0.669 0.331 0.000
0.166 0.834 0.500
0.834 0.166 0.500
0.500 0.500 0.500
0.079 0.416 0.249
0.246 0.246 0.751
0.416 0.079 0.249
0.584 0.921 0.751
0.754 0.754 0.249
0.921 0.584 0.751
```

Results
raw total energy: -5.888 eV/atom
crystal system: monoclinic
space-group type: C2/m (12)
DOS at the Fermi energy: 9.69 states/eV/f.u.


(10)
# LiTm2US4

LiTm2US4 after structural relaxation (PBE, Alexandria via LeMat-Bulk).

The structure in POSCAR format:
```
LiTm2US4
1.0
6.670 0.000 0.000
0.000 3.817 0.000
-2.195 0.000 6.323
Li Tm U S
1 2 1 4
direct
0.000 0.000 0.000
0.500 0.000 0.500
0.500 0.500 0.000
0.000 0.500 0.500
0.249 0.500 0.245
0.252 0.000 0.758
0.748 0.000 0.242
0.751 0.500 0.755
```

Results
raw total energy: -6.539 eV/atom
crystal system: monoclinic
space-group type: P2/m (10)
DOS at the Fermi energy: 6.63 states/eV/f.u.


(11)
# Li3Tm3US8

Li3Tm3US8 after structural relaxation (PBE, Alexandria via LeMat-Bulk).

The structure in POSCAR format:
```
Li3Tm3US8
1.0
3.893 2.247 6.167
-3.893 2.247 6.167
0.000 -4.495 6.167
Li Tm U S
3 3 1 8
direct
0.000 0.500 0.500
0.500 0.000 0.500
0.500 0.500 0.000
0.000 0.000 0.500
0.000 0.500 0.000
0.500 0.000 0.000
0.500 0.500 0.500
0.249 0.249 0.249
0.250 0.746 0.746
0.254 0.254 0.750
0.254 0.750 0.254
0.746 0.250 0.746
0.746 0.746 0.250
0.750 0.254 0.254
0.751 0.751 0.751
```

Results
raw total energy: -5.964 eV/atom
crystal system: trigonal
space-group type: R-3m (166)
DOS at the Fermi energy: 6.03 states/eV/f.u.


(12)
# LiTmUS3

LiTmUS3 after structural relaxation (PBE, Alexandria via LeMat-Bulk).

The structure in POSCAR format:
```
LiTmUS3
1.0
8.013 0.000 0.000
0.000 3.731 0.000
-1.945 0.000 8.100
Li Tm U S
2 2 2 6
direct
0.088 0.250 0.079
0.912 0.750 0.921
0.337 0.750 0.335
0.663 0.250 0.665
0.176 0.250 0.708
0.824 0.750 0.292
0.099 0.250 0.361
0.220 0.750 0.990
0.426 0.750 0.671
0.574 0.250 0.329
0.780 0.250 0.010
0.901 0.750 0.639
```

Results
raw total energy: -6.520 eV/atom
crystal system: monoclinic
space-group type: P2_1/m (11)
DOS at the Fermi energy: 6.83 states/eV/f.u.


(13)
# Li2TmUS4

Li2TmUS4 after structural relaxation (PBE, Alexandria via LeMat-Bulk).

The structure in POSCAR format:
```
Li2TmUS4
1.0
6.601 0.000 0.000
0.000 3.856 0.000
-2.273 0.000 6.319
Li Tm U S
2 1 1 4
direct
0.000 0.000 0.000
0.000 0.500 0.500
0.500 0.000 0.500
0.500 0.500 0.000
0.245 0.000 0.744
0.249 0.500 0.252
0.751 0.500 0.748
0.755 0.000 0.256
```

Results
raw total energy: -6.096 eV/atom
crystal system: monoclinic
space-group type: P2/m (10)
DOS at the Fermi energy: 5.42 states/eV/f.u.


(14)
# LiY4TmS8

LiY4TmS8 after structural relaxation (PBE, Alexandria via LeMat-Bulk).

The structure in POSCAR format:
```
LiY4TmS8
1.0
4.007 2.313 6.501
-4.007 2.313 6.501
0.000 -4.626 6.501
Li Y Tm S
1 4 1 8
direct
0.000 0.000 0.000
0.370 0.370 0.889
0.370 0.889 0.370
0.751 0.751 0.751
0.889 0.370 0.370
0.370 0.370 0.370
0.131 0.131 0.131
0.134 0.134 0.605
0.134 0.605 0.134
0.152 0.614 0.614
0.605 0.134 0.134
0.614 0.152 0.614
0.614 0.614 0.152
0.617 0.617 0.617
```

Results
raw total energy: -6.637 eV/atom
crystal system: trigonal
space-group type: R3m (160)
DOS at the Fermi energy: 0.00 states/eV/f.u.


(15)
# LiYTm2S5

LiYTm2S5 after structural relaxation (PBE, Alexandria via LeMat-Bulk).

The structure in POSCAR format:
```
LiYTm2S5
1.0
2.012 -7.735 0.000
2.012 7.735 0.000
0.000 0.000 13.373
Li Y Tm S
2 2 4 10
direct
0.233 0.767 0.500
0.767 0.233 0.000
0.463 0.537 0.946
0.537 0.463 0.446
0.096 0.904 0.171
0.167 0.833 0.730
0.833 0.167 0.230
0.904 0.096 0.671
0.069 0.931 0.560
0.265 0.735 0.128
0.323 0.677 0.821
0.387 0.613 0.540
0.456 0.544 0.270
0.544 0.456 0.770
0.613 0.387 0.040
0.677 0.323 0.321
0.735 0.265 0.628
0.931 0.069 0.060
```

Results
raw total energy: -5.992 eV/atom
crystal system: orthorhombic
space-group type: Cmc2_1 (36)
DOS at the Fermi energy: 0.00 states/eV/f.u.


(16)
# Li2Y3TmS6

Li2Y3TmS6 after structural relaxation (PBE, Alexandria via LeMat-Bulk).

The structure in POSCAR format:
```
Li2Y3TmS6
1.0
3.346 -5.794 0.000
3.346 5.794 0.000
-2.227 0.000 6.297
Li Y Tm S
2 3 1 6
direct
0.167 0.833 0.000
0.833 0.167 0.000
0.000 0.000 0.500
0.332 0.668 0.500
0.668 0.332 0.500
0.500 0.500 0.000
0.085 0.420 0.759
0.246 0.246 0.243
0.420 0.085 0.759
0.580 0.915 0.241
0.754 0.754 0.757
0.915 0.580 0.241
```

Results
raw total energy: -6.281 eV/atom
crystal system: monoclinic
space-group type: C2/m (12)
DOS at the Fermi energy: 2.53 states/eV/f.u.


(17)
# Li2YTmS4

Li2YTmS4 after structural relaxation (PBE, Alexandria via LeMat-Bulk).

The structure in POSCAR format:
```
Li2YTmS4
1.0
6.561 0.000 0.000
0.000 3.889 0.000
-2.298 0.000 6.329
Li Y Tm S
2 1 1 4
direct
0.000 0.000 0.000
0.000 0.500 0.500
0.500 0.000 0.500
0.500 0.500 0.000
0.250 0.500 0.247
0.251 0.000 0.754
0.749 0.000 0.246
0.750 0.500 0.753
```

Results
raw total energy: -5.765 eV/atom
crystal system: monoclinic
space-group type: P2/m (10)
DOS at the Fermi energy: 0.00 states/eV/f.u.


(18)
# LiY3Tm4S8

LiY3Tm4S8 after structural relaxation (PBE, Alexandria via LeMat-Bulk).

The structure in POSCAR format:
```
LiY3Tm4S8
1.0
3.864 2.231 6.311
-3.864 2.231 6.311
0.000 -4.462 6.311
Li Y Tm S
1 3 4 8
direct
0.000 0.000 0.000
0.000 0.500 0.500
0.500 0.000 0.500
0.500 0.500 0.000
0.000 0.000 0.500
0.000 0.500 0.000
0.500 0.000 0.000
0.500 0.500 0.500
0.242 0.753 0.753
0.247 0.247 0.758
0.247 0.758 0.247
0.248 0.248 0.248
0.752 0.752 0.752
0.753 0.242 0.753
0.753 0.753 0.242
0.758 0.247 0.247
```

Results
raw total energy: -6.452 eV/atom
crystal system: trigonal
space-group type: R-3m (166)
DOS at the Fermi energy: 7.98 states/eV/f.u.


(19)
# LiY3Tm3S8

LiY3Tm3S8 after structural relaxation (PBE, Alexandria via LeMat-Bulk).

The structure in POSCAR format:
```
LiY3Tm3S8
1.0
3.852 2.224 6.313
-3.852 2.224 6.313
0.000 -4.448 6.313
Li Y Tm S
1 3 3 8
direct
0.000 0.000 0.000
0.000 0.000 0.500
0.000 0.500 0.000
0.500 0.000 0.000
0.000 0.500 0.500
0.500 0.000 0.500
0.500 0.500 0.000
0.246 0.246 0.750
0.246 0.750 0.246
0.250 0.754 0.754
0.252 0.252 0.252
0.748 0.748 0.748
0.750 0.246 0.246
0.754 0.250 0.754
0.754 0.754 0.250
```

Results
raw total energy: -6.508 eV/atom
crystal system: trigonal
space-group type: R-3m (166)
DOS at the Fermi energy: 4.36 states/eV/f.u.


(20)
# Li3YTm2S6

Li3YTm2S6 after structural relaxation (PBE, Alexandria via LeMat-Bulk).

The structure in POSCAR format:
```
Li3YTm2S6
1.0
3.357 -5.816 0.000
3.357 5.816 0.000
-2.237 0.000 6.168
Li Y Tm S
3 1 2 6
direct
0.000 0.000 0.000
0.333 0.667 0.000
0.667 0.333 0.000
0.500 0.500 0.500
0.167 0.833 0.500
0.833 0.167 0.500
0.080 0.417 0.251
0.246 0.246 0.749
0.417 0.080 0.251
0.583 0.920 0.749
0.754 0.754 0.251
0.920 0.583 0.749
```

Results
raw total energy: -5.684 eV/atom
crystal system: monoclinic
space-group type: C2/m (12)
DOS at the Fermi energy: 0.00 states/eV/f.u.